(1)
{"formula": "GaPd2RhCl", "functional": "PBE", "state": "relaxed", "energy_ev_per_fu": -19.61, "raw_formation_energy_mev_per_atom": 600, "spacegroup": "P4/mmm (123)", "lattice_angstrom": [[4.9170, 0.0000, 0.0000], [0.0000, 4.7535, 0.0000], [0.0000, 0.0000, 4.9170]], "species": ["Rh", "Pd", "Pd", "Cl", "Ga"], "frac_coords": [[0.0000, 0.0000, 0.0000], [0.0000, 0.0000, 0.5000], [0.5000, 0.0000, 0.0000], [0.5000, 0.5000, 0.5000], [0.0000, 0.5000, 0.0000]]}

---

(2)
{"formula": "GaPdSCl2", "functional": "PBE", "state": "relaxed", "energy_ev_per_fu": -16.89, "raw_formation_energy_mev_per_atom": -171, "de_polymorph_mev_per_atom": 0.0, "spacegroup": "P4/mmm (123)", "lattice_angstrom": [[5.0269, 0.0000, 0.0000], [0.0000, 5.0269, 0.0000], [0.0000, 0.0000, 4.6480]], "species": ["Cl", "Cl", "Pd", "Ga", "S"], "frac_coords": [[0.0000, 0.5000, 0.0000], [0.5000, 0.0000, 0.0000], [0.0000, 0.0000, 0.0000], [0.5000, 0.5000, 0.5000], [0.0000, 0.0000, 0.5000]]}

---

(3)
{"formula": "GaSb2PdCl", "functional": "PBE", "state": "relaxed", "energy_ev_per_fu": -17.84, "raw_formation_energy_mev_per_atom": 94, "spacegroup": "P4/mmm (123)", "lattice_angstrom": [[-0.4074, 0.3704, -5.2580], [-0.6446, -4.8387, -0.2909], [-5.2248, 0.6688, 0.4519]], "species": ["Sb", "Sb", "Ga", "Cl", "Pd"], "frac_coords": [[0.0000, 0.0000, 0.5000], [0.5000, 0.0000, 0.0000], [0.0000, 0.5000, 0.0000], [0.5000, 0.5000, 0.5000], [0.0000, 0.0000, 0.0000]]}

---

(4)
{"formula": "GaSbPd2Cl", "functional": "PBE", "state": "relaxed", "energy_ev_per_fu": -17.57, "raw_formation_energy_mev_per_atom": 362, "spacegroup": "P4/mmm (123)", "lattice_angstrom": [[4.7272, 0.0000, 0.0000], [0.0000, 5.4127, 0.0000], [0.0000, 0.0000, 4.7272]], "species": ["Pd", "Pd", "Sb", "Cl", "Ga"], "frac_coords": [[0.5000, 0.0000, 0.0000], [0.0000, 0.0000, 0.5000], [0.0000, 0.5000, 0.0000], [0.5000, 0.5000, 0.5000], [0.0000, 0.0000, 0.0000]]}

---

(5)
{"formula": "ScGa2PdCl", "functional": "PBE", "state": "relaxed", "energy_ev_per_fu": -18.48, "raw_formation_energy_mev_per_atom": 188, "spacegroup": "P4/mmm (123)", "lattice_angstrom": [[4.9219, 0.0000, 0.0000], [0.0000, 4.6919, 0.0000], [0.0000, 0.0000, 4.9219]], "species": ["Ga", "Ga", "Pd", "Cl", "Sc"], "frac_coords": [[0.5000, 0.0000, 0.0000], [0.0000, 0.0000, 0.5000], [0.5000, 0.5000, 0.5000], [0.0000, 0.0000, 0.0000], [0.0000, 0.5000, 0.0000]]}

---

(6)
{"formula": "Ga2SiPdCl", "functional": "PBE", "state": "relaxed", "energy_ev_per_fu": -19.37, "raw_formation_energy_mev_per_atom": -170, "spacegroup": "P4/mmm (123)", "lattice_angstrom": [[4.9690, 0.0000, 0.0000], [0.0000, 4.9690, 0.0000], [0.0000, 0.0000, 4.6079]], "species": ["Ga", "Ga", "Cl", "Si", "Pd"], "frac_coords": [[0.0000, 0.5000, 0.0000], [0.5000, 0.0000, 0.0000], [0.5000, 0.5000, 0.5000], [0.0000, 0.0000, 0.5000], [0.0000, 0.0000, 0.0000]]}

---

(7)
{"formula": "Ti2GaPdCl", "functional": "PBE", "state": "relaxed", "energy_ev_per_fu": -24.82, "raw_formation_energy_mev_per_atom": 207, "spacegroup": "P4/mmm (123)", "lattice_angstrom": [[4.3642, 0.0000, 0.0000], [0.0000, 4.8661, 0.0000], [0.0000, 0.0000, 4.3642]], "species": ["Pd", "Ga", "Cl", "Ti", "Ti"], "frac_coords": [[0.5000, 0.5000, 0.5000], [0.0000, 0.5000, 0.0000], [0.0000, 0.0000, 0.0000], [0.5000, 0.0000, 0.0000], [0.0000, 0.0000, 0.5000]]}

---

(8)
{"formula": "TlGa2PdCl8", "functional": "PBE", "state": "relaxed", "energy_ev_per_fu": -39.12, "raw_formation_energy_mev_per_atom": -894, "spacegroup": "P-3m1 (164)", "lattice_angstrom": [[7.1703, 0.0000, 0.0000], [-3.5852, 6.2097, 0.0000], [0.0000, 0.0000, 8.7498]], "species": ["Tl", "Cl", "Cl", "Cl", "Cl", "Cl", "Cl", "Cl", "Cl", "Ga", "Ga", "Pd"], "frac_coords": [[0.0000, 0.0000, 0.5000], [0.6667, 0.3333, 0.5250], [0.1636, 0.3272, 0.8078], [0.6728, 0.8364, 0.8078], [0.3333, 0.6667, 0.4750], [0.3272, 0.1636, 0.1922], [0.8364, 0.1636, 0.1922], [0.8364, 0.6728, 0.1922], [0.1636, 0.8364, 0.8078], [0.6667, 0.3333, 0.2756], [0.3333, 0.6667, 0.7244], [0.0000, 0.0000, 0.0000]]}